(1)
# PBE-GGA NdMgSb, relaxed
# Energy above the lowest structure with this stoichiometry, eV per atom: 0.0000
# Total magnetic moment, Bohr magnetons per cell: 0.0
# Volume, Å³ per atom: 26.980
# ΔE_f (raw), meV/atom: -641
# N(E_F), states/eV/cell: 0.24
# DFT total energy, eV per atom: -4.136
data_NdMgSb
_symmetry_space_group_name_H-M 'P 1'
_symmetry_Int_Tables_number 1
_symmetry_space_group_name_Hall 'P 1'
_cell_length_a 4.1530
_cell_length_b 4.7439
_cell_length_c 4.7439
_cell_angle_alpha 120.00
_cell_angle_beta 90.00
_cell_angle_gamma 90.00
loop_
_atom_site_label
_atom_site_type_symbol
_atom_site_fract_x
_atom_site_fract_y
_atom_site_fract_z
Mg1 Mg 0.1655 0.0000 0.0000
Nd1 Nd 0.6667 0.6667 0.3333
Sb1 Sb 0.1678 0.3333 0.6667

***

(2)
# PBE-GGA TbNdMgRh, relaxed
# Total magnetic moment, Bohr magnetons per cell: 0.0
# Volume, Å³ per atom: 24.128
# N(E_F), states/eV/cell: 1.92
# DFT total energy, eV per atom: -4.928
# ΔE_f, eV/atom: -0.3421
data_TbNdMgRh
_symmetry_space_group_name_H-M 'P 1'
_symmetry_Int_Tables_number 1
_symmetry_space_group_name_Hall 'P 1'
_cell_length_a 5.1487
_cell_length_b 5.1487
_cell_length_c 5.1487
_cell_angle_alpha 60.00
_cell_angle_beta 60.00
_cell_angle_gamma 60.00
loop_
_atom_site_label
_atom_site_type_symbol
_atom_site_fract_x
_atom_site_fract_y
_atom_site_fract_z
Nd1 Nd 0.7500 0.7500 0.7500
Mg1 Mg 0.0000 0.0000 0.0000
Rh1 Rh 0.5000 0.5000 0.5000
Tb1 Tb 0.2500 0.2500 0.2500

***

(3)
# PBE-GGA Eu2AlPt, relaxed
# Total magnetic moment, Bohr magnetons per cell: 13.9
# Volume, Å³ per atom: 24.685
# N(E_F), states/eV/cell: 12.84
# DFT total energy, eV per atom: -8.136
# ΔE_f, eV/atom: -0.5529
data_Eu2AlPt
_symmetry_space_group_name_H-M 'P 1'
_symmetry_Int_Tables_number 1
_symmetry_space_group_name_Hall 'P 1'
_cell_length_a 3.7501
_cell_length_b 3.7501
_cell_length_c 7.0211
_cell_angle_alpha 90.00
_cell_angle_beta 90.00
_cell_angle_gamma 90.00
loop_
_atom_site_label
_atom_site_type_symbol
_atom_site_fract_x
_atom_site_fract_y
_atom_site_fract_z
Eu1 Eu 0.0000 0.0000 0.2352
Pt1 Pt 0.5000 0.5000 0.0000
Al1 Al 0.5000 0.5000 0.5000
Eu2 Eu 0.0000 0.0000 0.7648

***

(4)
# PBE-GGA AlTeW, relaxed
# Energy above the lowest structure with this stoichiometry, eV per atom: 0.3196
# Total magnetic moment, Bohr magnetons per cell: 0.0
# Volume, Å³ per atom: 19.467
# ΔE_f (raw), meV/atom: 636
# N(E_F), states/eV/cell: 2.35
# DFT total energy, eV per atom: -5.976
data_AlTeW
_symmetry_space_group_name_H-M 'P 1'
_symmetry_Int_Tables_number 1
_symmetry_space_group_name_Hall 'P 1'
_cell_length_a 7.2040
_cell_length_b 7.0146
_cell_length_c 3.0031
_cell_angle_alpha 81.37
_cell_angle_beta 74.30
_cell_angle_gamma 24.34
loop_
_atom_site_label
_atom_site_type_symbol
_atom_site_fract_x
_atom_site_fract_y
_atom_site_fract_z
Al1 Al 0.0166 0.0166 0.9834
W1 W 0.6592 0.6592 0.3408
Te1 Te 0.3242 0.3242 0.6758

***

(5)
# PBE-GGA Si2SbRh, relaxed
# Total magnetic moment, Bohr magnetons per cell: 0.0
# Volume, Å³ per atom: 17.924
# ΔE_f (raw), meV/atom: -29
# N(E_F), states/eV/cell: 2.04
# DFT total energy, eV per atom: -5.609
data_Si2SbRh
_symmetry_space_group_name_H-M 'P 1'
_symmetry_Int_Tables_number 1
_symmetry_space_group_name_Hall 'P 1'
_cell_length_a 4.2627
_cell_length_b 4.2627
_cell_length_c 5.6072
_cell_angle_alpha 74.17
_cell_angle_beta 74.17
_cell_angle_gamma 47.49
loop_
_atom_site_label
_atom_site_type_symbol
_atom_site_fract_x
_atom_site_fract_y
_atom_site_fract_z
Rh1 Rh 0.7500 0.7500 0.7500
Si1 Si 0.4865 0.4865 0.5843
Sb1 Sb 0.2500 0.2500 0.2500
Si2 Si 0.0135 0.0135 0.9157

***

(6)
# PBE-GGA SbIr2C, relaxed
# Energy above the lowest structure with this stoichiometry, eV per atom: 1.0321
# Total magnetic moment, Bohr magnetons per cell: 0.5
# Volume, Å³ per atom: 14.756
# ΔE_f (raw), meV/atom: 1353
# N(E_F), states/eV/cell: 4.00
# DFT total energy, eV per atom: -6.414
data_SbIr2C
_symmetry_space_group_name_H-M 'P 1'
_symmetry_Int_Tables_number 1
_symmetry_space_group_name_Hall 'P 1'
_cell_length_a 4.3703
_cell_length_b 4.3703
_cell_length_c 4.3703
_cell_angle_alpha 60.00
_cell_angle_beta 60.00
_cell_angle_gamma 60.00
loop_
_atom_site_label
_atom_site_type_symbol
_atom_site_fract_x
_atom_site_fract_y
_atom_site_fract_z
Sb1 Sb 0.5000 0.5000 0.5000
C1 C 0.0000 0.0000 0.0000
Ir1 Ir 0.2500 0.2500 0.2500
Ir2 Ir 0.7500 0.7500 0.7500